The following is a DFT calculation (PBE-GGA) of an optimized crystal structure of KCd2InBi2.

Unit cell a=5.190 b=5.190 c=8.442 alpha=90.00 beta=90.00 gamma=120.00
Fractional coordinates of all 6 atoms:
K 0.000 0.000 0.000
Cd 0.333 0.667 0.651
Cd 0.667 0.333 0.349
In 0.000 0.000 0.500
Bi 0.333 0.667 0.264
Bi 0.667 0.333 0.736

Calculated values
Density   6.7 g/cm³
DFT total energy   -0.0874 hartree per atom

***

The following is a DFT calculation (PBE-GGA) of an optimized crystal structure of K2Cd3In4Bi.

Unit cell a=5.006 b=5.006 c=12.654 alpha=90.00 beta=90.00 gamma=90.00
Fractional coordinates of all 10 atoms:
K 0.000 0.500 0.246
K 0.500 0.000 0.754
Cd 0.000 0.500 0.870
Cd 0.500 0.000 0.130
Cd 0.500 0.500 0.500
In 0.000 0.000 0.000
In 0.000 0.500 0.642
In 0.500 0.000 0.358
In 0.500 0.500 0.000
Bi 0.000 0.000 0.500

Calculated values
Density   5.7 g/cm³
DFT total energy   -0.0769 hartree per atom

***

The following is a DFT calculation (PBE-GGA) of an optimized crystal structure of K2Cd3InBi4.

Unit cell a=5.375 b=5.375 c=12.011 alpha=90.00 beta=90.00 gamma=90.00
Fractional coordinates of all 10 atoms:
K 0.000 0.500 0.243
K 0.500 0.000 0.757
Cd 0.000 0.500 0.874
Cd 0.500 0.000 0.126
Cd 0.500 0.500 0.500
In 0.000 0.000 0.500
Bi 0.000 0.000 0.000
Bi 0.000 0.500 0.628
Bi 0.500 0.000 0.372
Bi 0.500 0.500 0.000

Calculated values
Density   6.5 g/cm³
DFT total energy   -0.0923 hartree per atom

***

> The lowest DFT total energy belongs to which entry?

K2Cd3InBi4

***

Repeat the third record exactly.
The following is a DFT calculation (PBE-GGA) of an optimized crystal structure of K2Cd3InBi4.

Unit cell a=5.375 b=5.375 c=12.011 alpha=90.00 beta=90.00 gamma=90.00
Fractional coordinates of all 10 atoms:
K 0.000 0.500 0.243
K 0.500 0.000 0.757
Cd 0.000 0.500 0.874
Cd 0.500 0.000 0.126
Cd 0.500 0.500 0.500
In 0.000 0.000 0.500
Bi 0.000 0.000 0.000
Bi 0.000 0.500 0.628
Bi 0.500 0.000 0.372
Bi 0.500 0.500 0.000

Calculated values
Density   6.5 g/cm³
DFT total energy   -0.0923 hartree per atom

***

> The highest DFT total energy belongs to which entry?

K2Cd3In4Bi